# 1
Ac3Nd2Sm4 | GGA-PBE | optimized geometry

The calculation puts the density of states at the Fermi level at 15.31 states/eV/f.u. Its formation energy is 0.039 eV per atom.

The structure belongs to space group C2/m (No. 12); the cell edges are 19.4117, 3.7921 and 9.2181 Å and the angles 90.00°, 91.16° and 90.00°. The asymmetric unit holds Ac at (0.0000, 0.0000, 0.0000), Ac at (0.1126, 0.0000, 0.6652), Nd at (0.1701, 0.5000, 0.0040), Sm at (0.0586, 0.5000, 0.3321) and Sm at (0.2198, 0.0000, 0.3351).

# 2
MnPd3Au | GGA-PBE | optimized geometry

The calculation puts the density of states at the Fermi level at 13.71 states/eV/f.u. Its formation energy is 1.688 eV per atom.

The structure belongs to space group Pm-3m (No. 221); the cell edges are 4.9106, 4.9106 and 4.9106 Å and the angles 90.00°, 90.00° and 90.00°. The asymmetric unit holds Mn at (0.0000, 0.0000, 0.0000), Pd at (0.0000, 0.5000, 0.5000) and Au at (0.5000, 0.5000, 0.5000).

# 3
Y2PaRh2 | GGA-PBE | optimized geometry

The calculation puts the density of states at the Fermi level at 5.59 states/eV/f.u. Its formation energy is -0.725 eV per atom.

The structure belongs to space group C2/c (No. 15); the cell edges are 11.0924, 6.1072 and 7.2215 Å and the angles 90.00°, 100.82° and 90.00°. The asymmetric unit holds Y at (0.1525, 0.1114, 0.1481), Pa at (0.0000, 0.4081, 0.7500) and Rh at (0.1467, 0.3684, 0.5153).

# 4
CsAs3I | GGA-PBE | optimized geometry

The calculation puts the density of states at the Fermi level at 7.60 states/eV/f.u. As for the electronic total energy: -2.562 eV/atom.

The structure belongs to space group Pm-3m (No. 221); the cell edges are 5.6106, 5.6106 and 5.6106 Å and the angles 90.00°, 90.00° and 90.00°. The asymmetric unit holds Cs at (0.0000, 0.0000, 0.0000), As at (0.0000, 0.5000, 0.5000) and I at (0.5000, 0.5000, 0.5000).

# 5
Pr6Te3P2S | GGA-PBE | optimized geometry

The calculation puts the density of states at the Fermi level at 4.84 states/eV/f.u. As for the electronic total energy: -6.055 eV/atom.

The structure belongs to space group C2/m (No. 12); the cell edges are 19.2134, 4.2824 and 8.8565 Å and the angles 90.00°, 106.09° and 90.00°. The asymmetric unit holds Pr at (0.0096, 0.0000, 0.2305), Pr at (0.1600, 0.5000, 0.1061), Pr at (0.1752, 0.5000, 0.5626), Te at (0.0000, 0.5000, 0.5000), Te at (0.1659, 0.0000, 0.8333), P at (0.1664, 0.0000, 0.3325) and S at (0.0000, 0.5000, 0.0000).

# 6
SrY2SnO | GGA-PBE | optimized geometry

The calculation puts the density of states at the Fermi level at 4.63 states/eV/f.u. As for the electronic total energy: -6.100 eV/atom.

The structure belongs to space group P4/mmm (No. 123); the cell edges are 4.8221, 4.8221 and 5.0830 Å and the angles 90.00°, 90.00° and 90.00°. The asymmetric unit holds Sr at (0.0000, 0.0000, 0.0000), Y at (0.0000, 0.5000, 0.5000), Sn at (0.5000, 0.5000, 0.0000) and O at (0.0000, 0.0000, 0.5000).

# 7
SrCa2Ga6 | GGA-PBE | optimized geometry

The calculation puts the density of states at the Fermi level at 4.07 states/eV/f.u. Its formation energy is -0.368 eV per atom.

The structure belongs to space group Immm (No. 71); the cell edges are 4.3248, 7.6240 and 13.3293 Å and the angles 90.00°, 90.00° and 90.00°. The asymmetric unit holds Sr at (0.0000, 0.0000, 0.0000), Ca at (0.0000, 0.5000, 0.1301), Ga at (0.0000, 0.1738, 0.5000) and Ga at (0.0000, 0.3101, 0.3182).

# 8
PrEr3Al2 | GGA-PBE | optimized geometry

The calculation puts the density of states at the Fermi level at 5.18 states/eV/f.u. Its formation energy is -0.259 eV per atom.

The structure belongs to space group P4/mmm (No. 123); the cell edges are 3.5411, 3.5411 and 12.5903 Å and the angles 90.00°, 90.00° and 90.00°. The asymmetric unit holds Pr at (0.0000, 0.0000, 0.0000), Er at (0.5000, 0.5000, 0.2094), Er at (0.5000, 0.5000, 0.5000) and Al at (0.0000, 0.0000, 0.3537).